Arrangement one

KCrN2 after structural relaxation, computed with PBE-GGA.

a b c (Å): 4.105 4.105 4.105
angles (deg): 60.00 60.00 60.00
Atoms (fractional coordinates):
N1 0.250 0.250 0.250
N2 0.750 0.750 0.750
Cr1 0.500 0.500 0.500
K1 0.000 0.000 0.000

Computed properties:
Theoretical density = 4.0 g cm⁻³
Calculated volume = 12.22 A^3/atom
Space-group type = Fm-3m
Fermi-level density of states = 0.469 states/eV per atom

---

Arrangement two

KCrN2 after structural relaxation, computed with PBE-GGA.

a b c (Å): 7.616 7.616 7.616
angles (deg): 24.62 24.62 24.62
Atoms (fractional coordinates):
K1 0.500 0.500 0.500
N1 0.077 0.077 0.077
N2 0.923 0.923 0.923
Cr1 0.000 0.000 0.000

Computed properties:
Theoretical density = 2.9 g cm⁻³
Calculated volume = 16.86 A^3/atom
Space-group type = R-3m
Fermi-level density of states = 1.695 states/eV per atom

---

Most stable pick: arrangement two. Distance to second place: 29.5 kJ/mol of atoms.